Arrangement 1

NbV2Tc2 after structural relaxation, computed with GGA-PBE.

Lattice parameters (Å, degrees): 7.245 7.245 2.884 90.00 90.00 90.00
Fractional positions:
Nb (0.000, 0.000, 0.000)
Nb (0.500, 0.500, 0.000)
V (0.145, 0.355, 0.000)
V (0.355, 0.855, 0.000)
V (0.645, 0.145, 0.000)
V (0.855, 0.645, 0.000)
Tc (0.156, 0.656, 0.500)
Tc (0.344, 0.156, 0.500)
Tc (0.656, 0.844, 0.500)
Tc (0.844, 0.344, 0.500)

***

Arrangement 2

NbV2Tc2 after structural relaxation, computed with GGA-PBE.

Lattice parameters (Å, degrees): 8.034 8.034 3.088 90.00 90.00 157.33
Fractional positions:
Nb (0.000, 0.000, 0.000)
V (0.190, 0.810, 0.000)
V (0.810, 0.190, 0.000)
Tc (0.395, 0.605, 0.500)
Tc (0.605, 0.395, 0.500)

***

Which of them is the most stable? Correct choice: arrangement 2.

***

Arrangement 1

NbVTcW after structural relaxation, computed with GGA-PBE.

Lattice parameters (Å, degrees): 3.138 3.138 6.309 90.00 90.00 90.00
Fractional positions:
Nb (0.000, 0.000, 0.000)
V (0.000, 0.000, 0.494)
Tc (0.500, 0.500, 0.256)
W (0.500, 0.500, 0.733)

***

Arrangement 2

NbVTcW after structural relaxation, computed with GGA-PBE.

Lattice parameters (Å, degrees): 4.442 4.442 4.442 60.00 60.00 60.00
Fractional positions:
Nb (0.000, 0.000, 0.000)
V (0.750, 0.750, 0.750)
Tc (0.250, 0.250, 0.250)
W (0.500, 0.500, 0.500)

***

Which of them is the most stable? Correct choice: arrangement 1.

***

Arrangement 1

Nb6TcW2 after structural relaxation, computed with GGA-PBE.

Lattice parameters (Å, degrees): 7.663 7.663 4.399 106.62 106.62 48.45
Fractional positions:
Nb (0.083, 0.587, 0.335)
Nb (0.248, 0.752, 0.000)
Nb (0.413, 0.917, 0.665)
Nb (0.587, 0.083, 0.335)
Nb (0.752, 0.248, 0.000)
Nb (0.917, 0.413, 0.665)
Tc (0.000, 0.000, 0.500)
W (0.334, 0.334, 0.834)
W (0.666, 0.666, 0.166)

***

Arrangement 2

Nb6TcW2 after structural relaxation, computed with GGA-PBE.

Lattice parameters (Å, degrees): 8.096 8.096 2.737 93.02 93.02 61.28
Fractional positions:
Nb (0.163, 0.504, 0.191)
Nb (0.170, 0.830, 0.000)
Nb (0.496, 0.837, 0.809)
Nb (0.504, 0.163, 0.191)
Nb (0.830, 0.170, 0.000)
Nb (0.837, 0.496, 0.809)
Tc (0.500, 0.500, 0.500)
W (0.170, 0.170, 0.493)
W (0.830, 0.830, 0.507)

***

Which of them is the most stable? Correct choice: arrangement 2.